Computed, not measured: a relaxed CaTl5In2 crystal at the PBE level of DFT.

Values from the calculation:
**Formation energy from the elements**: -60 meV/atom
**Total moment**: 0.000 μB/f.u.
**E**: -0.0909 Ha/atom

abc: 8.552 8.552 8.934
angles: 118.59 118.59 90.00
Atoms (fractional coordinates):
Ca1 0.750 0.750 0.500
Ca2 0.250 0.250 0.500
Tl1 0.494 0.693 0.687
Tl2 0.807 0.006 0.313
Tl3 0.000 0.000 0.000
Tl4 0.500 0.500 0.000
Tl5 0.193 0.994 0.687
Tl6 0.693 0.193 0.687
Tl7 0.994 0.494 0.687
Tl8 0.307 0.807 0.313
Tl9 0.006 0.506 0.313
Tl10 0.506 0.307 0.313
In1 0.145 0.355 0.000
In2 0.645 0.145 0.000
In3 0.355 0.855 0.000
In4 0.855 0.645 0.000